Compound: CrMo2Ru
Source: Alexandria via LeMat-Bulk
Functional: PBE-GGA
Structure: optimized geometry

```
4
Lattice="4.288 0.000 0.000 0.000 2.701 0.000 0.000 0.954 5.004" Properties=species:S:1:pos:R:3 pbc="T T T"
Mo 0.000 3.616 4.933
Mo 2.144 0.831 1.282
Ru 0.000 1.843 2.505
Cr 2.144 2.845 3.790
```

Properties
- crystal system = monoclinic
- total energy (hartree per atom) = -0.3672
- total magnetic moment (μB/cell) = 0.00
- density (g/cm³) = 9.886
- energy of formation from the pure elements (meV per atom) = 148
- distance to the lowest polymorph of the same formula (meV per atom) = 29